Record 1
PBE La3TeCBr, optimized geometry; crystal system = monoclinic; formation energy (no corrections) = -0.914 eV per atom; space group = No. 11; total magnetization = 0.00 μB per formula unit
1.0
-1.006 2.992 -2.268
-3.788 -5.504 -5.579
-7.961 2.866 7.311
La Te C Br
6 2 2 2
direct
0.250 0.727 0.554
0.750 0.858 0.102
0.750 0.491 0.141
0.750 0.273 0.446
0.250 0.509 0.859
0.250 0.142 0.898
0.750 0.803 0.796
0.250 0.197 0.204
0.250 0.666 0.075
0.750 0.334 0.925
0.250 0.154 0.618
0.750 0.846 0.382

Record 2
PBE K2TlGeO5, optimized geometry; crystal system = orthorhombic; formation energy (no corrections) = -1.187 eV per atom; space group = No. 36; total magnetization = 1.08 μB per formula unit
1.0
-2.991 -1.726 -0.341
4.215 -4.378 2.843
-3.850 4.251 12.253
K Tl Ge O
4 2 2 10
direct
0.827 0.655 0.801
0.063 0.126 0.674
0.173 0.345 0.301
0.937 0.874 0.174
0.780 0.560 0.542
0.220 0.440 0.042
0.526 0.053 0.929
0.474 0.947 0.429
0.401 0.802 0.004
0.672 0.345 0.934
0.490 0.979 0.806
0.270 0.541 0.644
0.966 0.933 0.490
0.599 0.198 0.504
0.328 0.655 0.434
0.510 0.021 0.306
0.730 0.459 0.144
0.034 0.067 0.990

Record 3
PBE LaPr2Bi3, optimized geometry; crystal system = orthorhombic; formation energy = -0.993 eV/atom; space group = No. 71; total magnetization = 0.00 μB per formula unit
1.0
4.668 0.000 0.000
0.000 6.591 0.000
-2.334 -3.296 6.994
La Pr Bi
1 2 3
direct
0.500 0.500 0.500
0.834 0.834 0.167
0.166 0.166 0.833
0.832 0.332 0.164
0.168 0.668 0.836
0.500 0.000 0.500

Record 4
PBE CrC2, optimized geometry; crystal system = cubic; formation energy = 1.080 eV/atom; space group = No. 205; polymorph energy (0 for the lowest one) = 584 meV per atom; total magnetization = 3.56 μB per formula unit
1.0
-1.039 4.027 2.832
-4.439 0.486 -2.320
-2.131 -2.977 3.452
Cr C
4 8
direct
0.000 0.000 0.000
0.500 0.500 0.000
0.500 0.000 0.500
0.000 0.500 0.500
0.575 0.575 0.425
0.425 0.425 0.575
0.075 0.925 0.575
0.925 0.075 0.425
0.425 0.075 0.075
0.575 0.925 0.925
0.925 0.425 0.925
0.075 0.575 0.075

Record 5
PBE Be3BBr, optimized geometry; crystal system = cubic; formation energy (no corrections) = 0.342 eV per atom; space group = No. 221; polymorph energy (0 for the lowest one) = 0 meV per atom; total magnetization = 0.00 μB per formula unit
1.0
3.928 0.000 0.000
0.000 3.928 0.000
0.000 0.000 3.928
Be B Br
3 1 1
direct
0.000 0.500 0.000
0.000 0.000 0.500
0.500 0.000 0.000
0.000 0.000 0.000
0.500 0.500 0.500

Record 6
PBE Si2TcAs, optimized geometry; crystal system = orthorhombic; formation energy (no corrections) = 0.363 eV per atom; space group = No. 47; total magnetization = 0.00 μB per formula unit
1.0
-2.481 -1.813 -0.598
0.039 -1.553 4.547
-2.458 3.016 1.052
As Si Tc
1 2 1
direct
0.000 0.500 0.500
0.000 0.000 0.000
0.500 0.500 0.000
0.500 0.000 0.500

Record 7
PBE PaWN2, optimized geometry; crystal system = trigonal; formation energy (no corrections) = -0.339 eV per atom; space group = No. 166; total magnetization = 0.00 μB per formula unit
1.0
-2.987 -0.842 -0.879
-2.073 -1.120 2.202
-3.697 5.294 1.575
Pa W N
1 1 2
direct
0.000 0.000 0.000
0.500 0.500 0.500
0.113 0.113 0.662
0.887 0.887 0.338

Record 8
PBE Sm2Zn7Au, optimized geometry; crystal system = tetragonal; formation energy = -0.362 eV/atom; space group = No. 115; total magnetization = 0.00 μB per formula unit
1.0
-3.059 0.436 -2.820
2.804 -0.305 -3.090
-1.377 -10.823 -0.180
Sm Zn Au
2 7 1
direct
0.500 0.000 0.744
0.000 0.500 0.256
0.000 0.500 0.856
0.500 0.000 0.368
0.500 0.000 0.144
0.000 0.500 0.632
0.000 0.000 0.500
0.000 0.000 0.000
0.500 0.500 0.500
0.500 0.500 0.000

Record 9
PBE NaB2Sb2, optimized geometry; crystal system = tetragonal; formation energy (no corrections) = 0.877 eV per atom; space group = No. 127; polymorph energy (0 for the lowest one) = 240 meV per atom; total magnetization = 0.00 μB per formula unit
1.0
7.801 0.000 0.000
0.000 7.801 0.000
0.000 0.000 3.500
Sb B Na
4 4 2
direct
0.356 0.856 0.000
0.856 0.644 0.000
0.644 0.144 0.000
0.144 0.356 0.000
0.076 0.576 0.500
0.576 0.924 0.500
0.924 0.424 0.500
0.424 0.076 0.500
0.000 0.000 0.000
0.500 0.500 0.000

Record 10
PBE ScMn2Ge, optimized geometry; crystal system = tetragonal; formation energy = 0.240 eV/atom; space group = No. 122; total magnetization = 5.79 μB per formula unit
1.0
7.188 0.000 0.000
0.000 7.188 0.000
3.594 3.594 2.704
Sc Ge Mn
2 2 4
direct
0.500 0.500 0.000
0.250 0.750 0.500
0.000 0.000 0.000
0.750 0.250 0.500
0.664 0.125 0.250
0.086 0.625 0.250
0.375 0.336 0.750
0.875 0.914 0.750

Record 11
PBE Li2InTcS, optimized geometry; crystal system = tetragonal; formation energy (no corrections) = -0.178 eV per atom; space group = No. 123; total magnetization = 0.86 μB per formula unit
1.0
4.448 0.000 0.000
0.000 4.491 0.000
0.000 0.000 4.448
S Li Tc In
1 2 1 1
direct
0.000 0.000 0.000
0.000 0.000 0.500
0.500 0.000 0.000
0.000 0.500 0.000
0.500 0.500 0.500

Record 12
PBE Cu2NiOs, optimized geometry; crystal system = trigonal; formation energy = 0.143 eV/atom; space group = No. 160; polymorph energy (0 for the lowest one) = 0 meV per atom; total magnetization = 0.01 μB per formula unit
1.0
8.468 -0.002 -0.001
8.058 2.602 -0.001
8.058 1.268 2.273
Cu Ni Os
2 1 1
direct
0.997 0.997 0.997
0.249 0.249 0.249
0.501 0.501 0.501
0.752 0.752 0.752

Uncorrected energy for every record listed, in sequence, given in eV/cell: -68.6; -89.3; -32.1; -99.3; -17.8; -24.4; -40.5; -25.3; -37.1; -56.7; -21.9; -24.6.